No. 1
A plane-wave DFT calculation with PBE-GGA was carried out for Sr2Y2Au after structural relaxation.

The structure in CIF format:
```
data_Sr2Y2Au
_space_group_name_H-M_alt 'I 4/m m m'
_space_group_IT_number 139
_space_group_name_Hall '-I 4 2'
_cell_length_a 4.2692
_cell_length_b 4.2692
_cell_length_c 20.7951
_cell_angle_alpha 90.00
_cell_angle_beta 90.00
_cell_angle_gamma 90.00
loop_
_atom_site_label
_atom_site_type_symbol
_atom_site_fract_x
_atom_site_fract_y
_atom_site_fract_z
_atom_site_occupancy
Sr1 Sr 0.0000 0.0000 0.0875 1
Y1 Y 0.0000 0.5000 0.2500 1
Au1 Au 0.0000 0.0000 0.5000 1
```

No. 2
A plane-wave DFT calculation with PBE-GGA was carried out for SrY3Au after structural relaxation.

The structure in CIF format:
```
data_SrY3Au
_space_group_name_H-M_alt 'P m -3 m'
_space_group_IT_number 221
_space_group_name_Hall '-P 4 2 3'
_cell_length_a 5.5484
_cell_length_b 5.5484
_cell_length_c 5.5484
_cell_angle_alpha 90.00
_cell_angle_beta 90.00
_cell_angle_gamma 90.00
loop_
_atom_site_label
_atom_site_type_symbol
_atom_site_fract_x
_atom_site_fract_y
_atom_site_fract_z
_atom_site_occupancy
Sr1 Sr 0.0000 0.0000 0.0000 1
Y1 Y 0.0000 0.0000 0.5000 1
Au1 Au 0.5000 0.5000 0.5000 1
```

no.,energy of formation from the pure elements (eV/atom)
1,0.10
2,1.20